The following is a DFT calculation (SCAN) of a PBEsol-optimized structure of NbReGe2.

Values from the calculation:
Energy relative to the elements in eV per atom: 0.080
Energy in eV/atom: -35.520

The structure in POSCAR format:
```
NbReGe2
1.0
6.235 0.000 0.000
0.000 6.235 0.000
0.000 0.000 6.235
Nb Re Ge
4 4 8
Cartesian
0.000 0.000 0.000 Nb
0.000 3.117 3.117 Nb
3.117 0.000 3.117 Nb
3.117 3.117 0.000 Nb
0.000 0.000 3.117 Re
0.000 3.117 0.000 Re
3.117 0.000 0.000 Re
3.117 3.117 3.117 Re
1.559 1.559 1.559 Ge
1.559 1.559 4.676 Ge
1.559 4.676 1.559 Ge
1.559 4.676 4.676 Ge
4.676 1.559 1.559 Ge
4.676 1.559 4.676 Ge
4.676 4.676 1.559 Ge
4.676 4.676 4.676 Ge
```

=====

The following is a DFT calculation (SCAN) of a PBEsol-optimized structure of NbTlMoAs2.

Values from the calculation:
Energy relative to the elements in eV per atom: 0.974
Energy in eV/atom: -35.177

The structure in POSCAR format:
```
NbTlMoAs2
1.0
4.755 0.000 0.000
0.000 4.755 0.000
0.000 0.000 5.272
Nb Tl Mo As
1 1 1 2
Cartesian
0.000 0.000 0.000 Nb
2.377 2.377 0.000 Tl
2.377 2.377 2.636 Mo
0.000 2.377 2.636 As
2.377 0.000 2.636 As
```

=====

Q: Look up the energy of the first one.
A: -35.520 eV/atom

=====

Copy entry 1 word for word.
The following is a DFT calculation (SCAN) of a PBEsol-optimized structure of NbReGe2.

Values from the calculation:
Energy relative to the elements in eV per atom: 0.080
Energy in eV/atom: -35.520

The structure in POSCAR format:
```
NbReGe2
1.0
6.235 0.000 0.000
0.000 6.235 0.000
0.000 0.000 6.235
Nb Re Ge
4 4 8
Cartesian
0.000 0.000 0.000 Nb
0.000 3.117 3.117 Nb
3.117 0.000 3.117 Nb
3.117 3.117 0.000 Nb
0.000 0.000 3.117 Re
0.000 3.117 0.000 Re
3.117 0.000 0.000 Re
3.117 3.117 3.117 Re
1.559 1.559 1.559 Ge
1.559 1.559 4.676 Ge
1.559 4.676 1.559 Ge
1.559 4.676 4.676 Ge
4.676 1.559 1.559 Ge
4.676 1.559 4.676 Ge
4.676 4.676 1.559 Ge
4.676 4.676 4.676 Ge
```

=====

Q: energy relative to the elements of number 2 (NbTlMoAs2)?
A: 0.974 eV per atom